3
Lattice="0.000 3.592 3.592 3.592 0.000 3.592 3.592 3.592 0.000" Properties=species:S:1:pos:R:3 comment="PBE-GGA LiNdEr, optimized geometry" polymorph_energy_mev_per_atom=0 space_group=F-43m magnetic_moment_mub_per_cell=0.0 pbc="T T T"
Nd 5.388 5.388 5.388
Li 0.000 0.000 0.000
Er 1.796 1.796 1.796

---

4
Lattice="3.152 -1.517 2.246 -0.633 -3.205 2.570 1.589 -3.733 -0.904" Properties=species:S:1:pos:R:3 comment="PBE-GGA LiCoBSb, optimized geometry" polymorph_energy_mev_per_atom=282 space_group=F-43m magnetic_moment_mub_per_cell=0.0 pbc="T T T"
Li 3.081 -6.341 2.934
Co 0.000 0.000 0.000
Sb 2.054 -4.228 1.956
B 1.027 -2.114 0.978

---

3
Lattice="-4.185 -0.539 -4.073 -4.326 3.948 -0.299 -0.226 3.768 -4.489" Properties=species:S:1:pos:R:3 comment="PBE-GGA BaAcNp, optimized geometry" final_energy_ev_per_atom=-4.92 space_group=F-43m magnetic_moment_mub_per_cell=6.5 pbc="T T T"
Ac 0.000 0.000 0.000
Np -6.553 5.383 -6.646
Ba -2.184 1.794 -2.215

---

12
Lattice="-6.155 4.966 -1.241 2.854 -6.369 3.921 3.896 6.933 8.424" Properties=species:S:1:pos:R:3 comment="PBE-GGA ErTlInTe3, optimized geometry" final_energy_ev_per_atom=-3.83 space_group=Cmcm magnetic_moment_mub_per_cell=0.0 pbc="T T T"
Te -0.819 4.561 5.117
Tl -3.046 4.014 2.088
Te -0.276 -2.039 2.332
Te 1.414 0.970 5.988
Tl 3.642 1.517 9.016
In -0.298 0.556 3.663
Te 3.063 -3.673 5.589
Te 0.872 7.570 8.773
Te -2.468 9.203 5.516
Er 0.000 0.000 0.000
In 0.893 4.975 7.441
Er 1.948 3.466 4.212

---

5
Lattice="5.195 0.000 0.000 0.000 5.195 0.000 0.000 0.000 5.373" Properties=species:S:1:pos:R:3 comment="PBE-GGA KCdIn2Ir, optimized geometry" final_energy_ev_per_atom=-3.45 space_group=P4/mmm magnetic_moment_mub_per_cell=0.0 pbc="T T T"
In 0.000 2.597 0.000
K 2.597 2.597 2.687
Cd 0.000 0.000 2.687
Ir 0.000 0.000 0.000
In 2.597 0.000 0.000

---

4
Lattice="0.000 3.128 3.128 3.128 0.000 3.128 3.128 3.128 0.000" Properties=species:S:1:pos:R:3 comment="PBE-GGA YZrFeB, optimized geometry" polymorph_energy_mev_per_atom=0 space_group=F-43m magnetic_moment_mub_per_cell=0.0 pbc="T T T"
Zr 3.128 3.128 3.128
Fe 4.692 4.692 4.692
B 0.000 0.000 0.000
Y 1.564 1.564 1.564